<i>
A relaxed structure of BaScTc3. Source: Alexandria, functional PBE-GGA.

The structure belongs to space group Pm-3m (No. 221); the cell edges are 4.925, 4.925 and 4.925 Å and the angles 90.00°, 90.00° and 90.00°. The asymmetric unit holds Ba at (0.000, 0.000, 0.000), Sc at (0.500, 0.500, 0.500) and Tc at (0.000, 0.500, 0.500).

As for the density of states at the Fermi level: 5.87 states/eV/f.u.

=====

<ii>
A relaxed structure of BaScTc3. Source: Alexandria, functional PBE-GGA.

The structure belongs to space group Pm-3m (No. 221); the cell edges are 4.941, 4.941 and 4.941 Å and the angles 90.00°, 90.00° and 90.00°. The asymmetric unit holds Ba at (0.000, 0.000, 0.000), Sc at (0.500, 0.500, 0.500) and Tc at (0.000, 0.000, 0.500).

As for the density of states at the Fermi level: 11.17 states/eV/f.u.

=====

Quick one: most stable of them? <i>

=====

<i>
A relaxed structure of BaSc2Te2. Source: Alexandria, functional PBE-GGA.

The structure belongs to space group I4/mmm (No. 139); the cell edges are 4.468, 4.468 and 15.207 Å and the angles 90.00°, 90.00° and 90.00°. The asymmetric unit holds Ba at (0.000, 0.000, 0.000), Sc at (0.000, 0.500, 0.250) and Te at (0.000, 0.000, 0.377).

As for the density of states at the Fermi level: 4.67 states/eV/f.u.

=====

<ii>
A relaxed structure of BaSc2Te2. Source: Alexandria, functional PBE-GGA.

The structure belongs to space group P4/mbm (No. 127); the cell edges are 8.653, 8.653 and 3.779 Å and the angles 90.00°, 90.00° and 90.00°. The asymmetric unit holds Ba at (0.000, 0.000, 0.000), Sc at (0.139, 0.361, 0.500) and Te at (0.142, 0.642, 0.000).

As for the density of states at the Fermi level: 3.74 states/eV/f.u.

=====

Quick one: most stable of them? <i>

=====

<i>
A relaxed structure of BaSc3Ti. Source: Alexandria, functional PBE-GGA.

The structure belongs to space group Pm-3m (No. 221); the cell edges are 5.228, 5.228 and 5.228 Å and the angles 90.00°, 90.00° and 90.00°. The asymmetric unit holds Ba at (0.000, 0.000, 0.000), Sc at (0.000, 0.000, 0.500) and Ti at (0.500, 0.500, 0.500).

As for the density of states at the Fermi level: 10.98 states/eV/f.u.

=====

<ii>
A relaxed structure of BaSc3Ti. Source: Alexandria, functional PBE-GGA.

The structure belongs to space group Pm-3m (No. 221); the cell edges are 5.349, 5.349 and 5.349 Å and the angles 90.00°, 90.00° and 90.00°. The asymmetric unit holds Ba at (0.000, 0.000, 0.000), Sc at (0.000, 0.500, 0.500) and Ti at (0.500, 0.500, 0.500).

As for the density of states at the Fermi level: 6.13 states/eV/f.u.

=====

Quick one: most stable of them? <ii>

=====

<i>
A relaxed structure of BaSc2Tl. Source: Alexandria, functional PBE-GGA.

The structure belongs to space group Pmm2 (No. 25); the cell edges are 3.568, 4.629 and 7.494 Å and the angles 90.00°, 90.00° and 90.00°. The asymmetric unit holds Ba at (0.000, 0.000, 0.000), Sc at (0.000, 0.000, 0.513), Sc at (0.500, 0.500, 0.324) and Tl at (0.500, 0.500, 0.715).

As for the density of states at the Fermi level: 4.72 states/eV/f.u.

=====

<ii>
A relaxed structure of BaSc2Tl. Source: Alexandria, functional PBE-GGA.

The structure belongs to space group P4mm (No. 99); the cell edges are 3.730, 3.730 and 8.952 Å and the angles 90.00°, 90.00° and 90.00°. The asymmetric unit holds Ba at (0.000, 0.000, 0.000), Sc at (0.000, 0.000, 0.535), Sc at (0.500, 0.500, 0.335) and Tl at (0.500, 0.500, 0.715).

As for the density of states at the Fermi level: 4.35 states/eV/f.u.

=====

Quick one: most stable of them? <ii>

=====

<i>
A relaxed structure of BaSc2Tl. Source: Alexandria, functional PBE-GGA.

The structure belongs to space group I4_1/amd (No. 141, origin choice 2); the cell edges are 5.483, 5.483 and 21.334 Å and the angles 90.00°, 90.00° and 90.00°. The asymmetric unit holds Ba at (0.000, 0.250, 0.375), Sc at (0.000, 0.000, 0.000) and Tl at (0.000, 0.250, 0.875).

As for the density of states at the Fermi level: 6.56 states/eV/f.u.

=====

<ii>
A relaxed structure of BaSc2Tl. Source: Alexandria, functional PBE-GGA.

The structure belongs to space group Immm (No. 71); the cell edges are 3.671, 5.892 and 11.526 Å and the angles 90.00°, 90.00° and 90.00°. The asymmetric unit holds Ba at (0.000, 0.000, 0.000), Sc at (0.000, 0.500, 0.214) and Tl at (0.000, 0.000, 0.500).

As for the density of states at the Fermi level: 6.55 states/eV/f.u.

=====

Quick one: most stable of them? <ii>

=====

<i>
A relaxed structure of BaSc2Tl. Source: Alexandria, functional PBE-GGA.

The structure belongs to space group Pmmm (No. 47); the cell edges are 3.782, 5.434 and 5.791 Å and the angles 90.00°, 90.00° and 90.00°. The asymmetric unit holds Ba at (0.000, 0.000, 0.000), Sc at (0.000, 0.500, 0.500), Sc at (0.500, 0.500, 0.000) and Tl at (0.500, 0.000, 0.500).

As for the density of states at the Fermi level: 5.66 states/eV/f.u.

=====

<ii>
A relaxed structure of BaSc2Tl. Source: Alexandria, functional PBE-GGA.

The structure belongs to space group R-3m (No. 166, hexagonal axes); the cell edges are 3.4883, 3.4883 and 34.5391 Å and the angles 90.00°, 90.00° and 120.00°. The asymmetric unit holds Ba at (0.0000, 0.0000, 0.0000), Sc at (0.0000, 0.0000, 0.0983) and Tl at (0.0000, 0.0000, 0.5000).

As for the density of states at the Fermi level: 10.37 states/eV/f.u.

=====

<iii>
A relaxed structure of BaSc2Tl. Source: Alexandria, functional PBE-GGA.

The structure belongs to space group Cm (No. 8); the cell edges are 10.701, 3.529 and 6.859 Å and the angles 90.00°, 98.78° and 90.00°. The asymmetric unit holds Ba at (0.000, 0.000, 0.000), Sc at (0.012, 0.500, 0.502), Sc at (0.277, 0.500, 0.336) and Tl at (0.250, 0.000, 0.692).

As for the density of states at the Fermi level: 5.66 states/eV/f.u.

=====

Quick one: most stable of them? <iii>